Below is crystalline K2MnHgO at its relaxed geometry, with properties calculated at the PBE with a Hubbard U level.

## Properties
* calculated total energy: -0.2636 Ry/atom
* magnetization: 4.15 μB per formula unit

a = 6.0874 Å, b = 6.0874 Å, c = 3.8680 Å
α = 90.00°, β = 90.00°, γ = 90.00°
Closest atoms and distances in Å follow each position.
Element x y z (fractional)
K: 0.0000 0.5000 0.0000  2 O 3.04
K: 0.5000 0.0000 0.0000  2 O 3.04
Mn: 0.0000 0.0000 0.5000  2 O 1.93
Hg: 0.5000 0.5000 0.5000  8 K 3.61, 2 Hg 3.87
O: 0.0000 0.0000 0.0000  2 Mn 1.93